No. 1
VASP calculation (PBE) on a geometry-optimized ZrZnTc structure.

Output
Energy of formation from the pure elements ... -264 meV per atom
Energy relative to the lowest polymorph listed for this composition ... 0.0 meV/atom
Calculated volume ... 924.2 Å³ per cell

Lattice parameters (Å, degrees): 5.1941 5.1941 39.5553 90.00 90.00 120.00
With the nearest neighbours (Å) after each atom.
Space group R-3m (No. 166, hexagonal axes)
Unique sites:
Zr 0.0000 0.0000 0.0417 (multiplicity 6)  9 Tc 3.05-3.08, 3 Zn 3.12, 4 Zr 3.16-3.30
Zr 0.0000 0.0000 0.1789 (multiplicity 6)  3 Tc 3.04, 9 Zn 3.07-3.11, 3 Zr 3.15
Zr 0.0000 0.0000 0.2666 (multiplicity 6)  6 Tc 3.03, 6 Zn 3.13, 3 Zr 3.16
Zn 0.0034 0.5017 0.7776 (multiplicity 18)  4 Zn 2.57-2.62, 2 Tc 2.67-2.68
Tc 0.0000 0.0000 0.3885 (multiplicity 6)  3 Tc 2.65, 3 Zn 2.68
Tc 0.0000 0.0000 0.5000 (multiplicity 3)  6 Zn 2.67
Tc 0.0000 0.5000 0.0000 (multiplicity 9)  6 Tc 2.60-2.65

---

No. 2
VASP calculation (PBE) on a geometry-optimized Ca3Si2PPt9 structure.

Output
Uncorrected formation energy ... -0.668 eV per atom
Calculated volume ... 296.0 Å³ per cell

Lattice parameters (Å, degrees): 6.5308 6.5308 8.0147 90.00 90.00 120.00
With the nearest neighbours (Å) after each atom.
Space group P-3m1 (No. 164)
Unique sites:
Ca 0.0000 0.0000 0.0000 (multiplicity 1)  6 Pt 2.81
Ca 0.3333 0.6667 0.6688 (multiplicity 2)  9 Pt 3.26-3.30
Si 0.3333 0.6667 0.1930 (multiplicity 2)  6 Pt 2.29-2.44
P 0.0000 0.0000 0.5000 (multiplicity 1)  6 Pt 2.35
Pt 0.0000 0.5000 0.0000 (multiplicity 3)  2 Si 2.44
Pt 0.1427 0.2853 0.2877 (multiplicity 6)  1 Si 2.29, 1 P 2.35

---

The lowest calculated volume belongs to which entry?
Ca3Si2PPt9

---

Number 1 is which compound?
ZrZnTc

---

The highest calculated volume belongs to which entry?
ZrZnTc